(1)
Computed, not measured: crystalline CsCdSiF6 at its relaxed geometry at the PBE-GGA level of DFT.

Geometry as CIF:
```
data_CsCdSiF6
_chemical_formula_sum 'Cs2 Cd2 Si2 F12'
_cell_length_a 10.055
_cell_length_b 5.845
_cell_length_c 5.632
_cell_angle_alpha 90.00
_cell_angle_beta 90.12
_cell_angle_gamma 90.00
_space_group_name_H-M_alt 'C 1 m 1'
_space_group_IT_number 8
_space_group_name_Hall 'C -2y'
loop_
_atom_site_label
_atom_site_fract_x
_atom_site_fract_y
_atom_site_fract_z
_atom_site_occupancy
Cs1 0.000 0.000 0.000 1
Cd1 0.166 0.500 0.482 1
Si1 0.335 0.000 0.594 1
F1 0.197 0.000 0.417 1
F2 0.263 0.210 0.770 1
F3 0.409 0.209 0.426 1
F4 0.474 0.000 0.779 1
```

Calculated values
Its magnetic moment is 1.228 μB per cell. The value obtained for the uncorrected energy is -0.1747 hartree per atom.



(2)
Computed, not measured: crystalline DyHoMgZn at its relaxed geometry at the PBE-GGA level of DFT.

Geometry as CIF:
```
data_DyHoMgZn
_chemical_formula_sum 'Dy1 Ho1 Mg1 Zn1'
_cell_length_a 3.570
_cell_length_b 3.570
_cell_length_c 7.820
_cell_angle_alpha 90.00
_cell_angle_beta 90.00
_cell_angle_gamma 90.00
_space_group_name_H-M_alt 'P 4 m m'
_space_group_IT_number 99
_space_group_name_Hall 'P 4 -2'
loop_
_atom_site_label
_atom_site_fract_x
_atom_site_fract_y
_atom_site_fract_z
_atom_site_occupancy
Dy1 0.000 0.000 0.000 1
Ho1 0.000 0.000 0.445 1
Mg1 0.500 0.500 0.721 1
Zn1 0.500 0.500 0.225 1
```

Calculated values
Its magnetic moment is 0.000 μB per cell. The value obtained for the uncorrected energy is -0.1183 hartree per atom. Its formation energy is -0.21 eV per atom.



(3)
Computed, not measured: crystalline MgTc3O at its relaxed geometry at the PBE-GGA level of DFT.

Geometry as CIF:
```
data_MgTc3O
_chemical_formula_sum 'Mg1 Tc3 O1'
_cell_length_a 4.821
_cell_length_b 4.821
_cell_length_c 4.821
_cell_angle_alpha 90.00
_cell_angle_beta 90.00
_cell_angle_gamma 90.00
_space_group_name_H-M_alt 'P m -3 m'
_space_group_IT_number 221
_space_group_name_Hall '-P 4 2 3'
loop_
_atom_site_label
_atom_site_fract_x
_atom_site_fract_y
_atom_site_fract_z
_atom_site_occupancy
Mg1 0.000 0.000 0.000 1
Tc1 0.000 0.000 0.500 1
O1 0.500 0.500 0.500 1
```

Calculated values
Its magnetic moment is 11.022 μB per cell. The value obtained for the uncorrected energy is -0.1772 hartree per atom.



(4)
Computed, not measured: crystalline K2TeF6 at its relaxed geometry at the PBE-GGA level of DFT.

Geometry as CIF:
```
data_K2TeF6
_chemical_formula_sum 'K4 Te2 F12'
_cell_length_a 6.562
_cell_length_b 7.954
_cell_length_c 7.697
_cell_angle_alpha 90.00
_cell_angle_beta 118.41
_cell_angle_gamma 90.00
_space_group_name_H-M_alt 'P 1 21/c 1'
_space_group_IT_number 14
_space_group_name_Hall '-P 2ybc'
loop_
_atom_site_label
_atom_site_fract_x
_atom_site_fract_y
_atom_site_fract_z
_atom_site_occupancy
K1 0.172 0.035 0.309 1
Te1 0.500 0.000 0.000 1
F1 0.209 0.146 0.952 1
F2 0.265 0.700 0.413 1
F3 0.426 0.031 0.706 1
```

Calculated values
Its magnetic moment is 0.000 μB per cell. The value obtained for the uncorrected energy is -0.1592 hartree per atom.



(5)
Computed, not measured: crystalline CaErGe2Pd5 at its relaxed geometry at the PBE-GGA level of DFT.

Geometry as CIF:
```
data_CaErGe2Pd5
_chemical_formula_sum 'Ca1 Er1 Ge2 Pd5'
_cell_length_a 4.278
_cell_length_b 4.278
_cell_length_c 8.925
_cell_angle_alpha 90.00
_cell_angle_beta 90.00
_cell_angle_gamma 90.00
_space_group_name_H-M_alt 'P 4/m m m'
_space_group_IT_number 123
_space_group_name_Hall '-P 4 2'
loop_
_atom_site_label
_atom_site_fract_x
_atom_site_fract_y
_atom_site_fract_z
_atom_site_occupancy
Ca1 0.000 0.000 0.000 1
Er1 0.000 0.000 0.500 1
Ge1 0.500 0.500 0.363 1
Pd1 0.000 0.500 0.229 1
Pd2 0.500 0.500 0.000 1
```

Calculated values
Its magnetic moment is 0.000 μB per cell. The value obtained for the uncorrected energy is -0.1967 hartree per atom. Its formation energy is -0.71 eV per atom.



(6)
Computed, not measured: crystalline Li2CaSm2Bi2 at its relaxed geometry at the PBE-GGA level of DFT.

Geometry as CIF:
```
data_Li2CaSm2Bi2
_chemical_formula_sum 'Li6 Ca3 Sm6 Bi6'
_cell_length_a 4.9320
_cell_length_b 4.9320
_cell_length_c 27.8354
_cell_angle_alpha 90.00
_cell_angle_beta 90.00
_cell_angle_gamma 120.00
_space_group_name_H-M_alt 'R -3 m'
_space_group_IT_number 166
_space_group_name_Hall '-R 3 2"'
loop_
_atom_site_label
_atom_site_fract_x
_atom_site_fract_y
_atom_site_fract_z
_atom_site_occupancy
Li1 0.0000 0.0000 0.0849 1
Ca1 0.0000 0.0000 0.5000 1
Sm1 0.0000 0.0000 0.3661 1
Bi1 0.0000 0.0000 0.2372 1
```

Calculated values
Its magnetic moment is 6.013 μB per cell. The value obtained for the uncorrected energy is -0.1376 hartree per atom. Its formation energy is -0.45 eV per atom.



(7)
Computed, not measured: crystalline CuNi6Rh at its relaxed geometry at the PBE-GGA level of DFT.

Geometry as CIF:
```
data_CuNi6Rh
_chemical_formula_sum 'Cu1 Ni6 Rh1'
_cell_length_a 3.588
_cell_length_b 3.588
_cell_length_c 7.130
_cell_angle_alpha 90.00
_cell_angle_beta 90.00
_cell_angle_gamma 90.00
_space_group_name_H-M_alt 'P 4/m m m'
_space_group_IT_number 123
_space_group_name_Hall '-P 4 2'
loop_
_atom_site_label
_atom_site_fract_x
_atom_site_fract_y
_atom_site_fract_z
_atom_site_occupancy
Cu1 0.000 0.000 0.000 1
Ni1 0.000 0.500 0.245 1
Ni2 0.500 0.500 0.000 1
Ni3 0.500 0.500 0.500 1
Rh1 0.000 0.000 0.500 1
```

Calculated values
Its magnetic moment is 4.111 μB per cell. The value obtained for the uncorrected energy is -0.2109 hartree per atom. Its formation energy is 0.03 eV per atom.



(8)
Computed, not measured: crystalline La2AgTe at its relaxed geometry at the PBE-GGA level of DFT.

Geometry as CIF:
```
data_La2AgTe
_chemical_formula_sum 'La6 Ag3 Te3'
_cell_length_a 4.4398
_cell_length_b 4.4398
_cell_length_c 23.2192
_cell_angle_alpha 90.00
_cell_angle_beta 90.00
_cell_angle_gamma 120.00
_space_group_name_H-M_alt 'R -3 m'
_space_group_IT_number 166
_space_group_name_Hall '-R 3 2"'
loop_
_atom_site_label
_atom_site_fract_x
_atom_site_fract_y
_atom_site_fract_z
_atom_site_occupancy
La1 0.0000 0.0000 0.2485 1
Ag1 0.0000 0.0000 0.5000 1
Te1 0.0000 0.0000 0.0000 1
```

Calculated values
Its magnetic moment is 0.003 μB per cell. The value obtained for the uncorrected energy is -0.1758 hartree per atom.